[1]
Dy4Y9In11 | the Alexandria database | PBE | relaxed; space-group type = Cmmm (65); V = 650 Å³/f.u.; ΔE_f = -40.05 kJ/mol of atoms; E = -4.86 eV/atom
1.0
3.509 0.000 0.000
0.000 13.056 -5.307
0.000 0.251 14.091
Y Dy In
9 4 11
direct
0.500 0.836 0.387
0.500 0.797 0.986
0.500 0.014 0.203
0.500 0.164 0.613
0.500 0.613 0.164
0.500 0.986 0.797
0.500 0.203 0.014
0.500 0.500 0.500
0.500 0.387 0.836
0.500 0.754 0.590
0.500 0.590 0.754
0.500 0.246 0.410
0.500 0.410 0.246
0.000 0.207 0.207
0.000 0.187 0.813
0.000 0.000 0.000
0.000 0.793 0.793
0.000 0.410 0.044
0.000 0.813 0.187
0.000 0.621 0.379
0.000 0.590 0.956
0.000 0.379 0.621
0.000 0.956 0.590
0.000 0.044 0.410

=====

[2]
DyY6In | the Alexandria database | PBE | relaxed; space-group type = R-3 (148); V = 251 Å³/f.u.; E above lowest polymorph = 98 meV per atom; ΔE_f = -1.80 kJ/mol of atoms; E = -5.78 eV/atom
1.0
9.233 0.014 0.155
4.610 7.307 -0.192
4.551 2.337 3.716
Y In Dy
6 1 1
direct
0.459 0.759 0.818
0.035 0.458 0.747
0.965 0.542 0.253
0.759 0.965 0.735
0.241 0.035 0.265
0.541 0.241 0.182
0.000 0.000 0.000
0.500 0.500 0.500

=====

[3]
Dy12YIn6 | the Alexandria database | PBE | relaxed; space-group type = R-3m (166); V = 623 Å³/f.u.; ΔE_f = -2.29 kJ/mol of atoms; E = -4.14 eV/atom
1.0
8.853 0.055 0.077
-2.142 8.590 0.077
-2.142 -2.759 8.136
Dy Y In
12 1 6
direct
0.877 0.500 0.123
0.500 0.877 0.123
0.500 0.123 0.877
0.557 0.557 0.823
0.123 0.500 0.877
0.823 0.557 0.557
0.557 0.823 0.557
0.443 0.177 0.443
0.877 0.123 0.500
0.177 0.443 0.443
0.443 0.443 0.177
0.123 0.877 0.500
0.000 0.000 0.000
0.246 0.701 0.246
0.246 0.246 0.701
0.299 0.754 0.754
0.701 0.246 0.246
0.754 0.754 0.299
0.754 0.299 0.754

=====

[4]
Dy2Y3In4 | the Alexandria database | PBE | relaxed; space-group type = C2/m (12); V = 247 Å³/f.u.; E above lowest polymorph = 0 meV per atom; ΔE_f = -41.24 kJ/mol of atoms; E = -4.82 eV/atom
1.0
-0.673 -4.683 2.346
4.000 -2.248 2.604
-2.954 4.729 8.592
In Y Dy
4 3 2
direct
0.666 0.667 0.899
0.334 0.333 0.101
0.000 0.000 0.346
0.000 0.000 0.654
0.000 0.000 0.000
0.333 0.333 0.424
0.667 0.667 0.576
0.667 0.666 0.222
0.333 0.334 0.778

=====

[5]
Dy3Y2In | the Alexandria database | PBE | relaxed; space-group type = Cmmm (65); V = 179 Å³/f.u.; E above lowest polymorph = 0 meV per atom; ΔE_f = -15.64 kJ/mol of atoms; E = -5.07 eV/atom
1.0
-4.432 -1.181 1.701
1.960 -3.601 2.609
-0.015 6.527 4.492
Dy Y In
3 2 1
direct
0.500 0.500 0.000
0.500 0.168 0.336
0.500 0.832 0.664
0.000 0.339 0.678
0.000 0.661 0.322
0.000 0.000 0.000

=====

[6]
Dy2YIn | the Alexandria database | PBE | relaxed; space-group type = P4/mmm (123); V = 119 Å³/f.u.; E above lowest polymorph = 38 meV per atom; ΔE_f = -22.30 kJ/mol of atoms; E = -4.83 eV/atom
1.0
3.587 0.000 0.000
0.000 3.587 0.000
0.000 0.000 9.226
Dy Y In
2 1 1
direct
0.000 0.000 0.774
0.000 0.000 0.226
0.500 0.500 0.500
0.500 0.500 0.000

=====

[7]
DyY9In2 | the Alexandria database | PBE | relaxed; space-group type = P4/mmm (123); V = 359 Å³/f.u.; ΔE_f = -16.32 kJ/mol of atoms; E = -5.86 eV/atom
1.0
-2.602 1.590 3.824
3.150 -2.171 3.046
8.257 12.542 0.402
Y Dy In
9 1 2
direct
0.500 0.000 0.500
0.500 0.500 0.000
0.500 0.500 0.338
0.000 0.500 0.500
0.500 0.000 0.827
0.000 0.500 0.173
0.500 0.000 0.173
0.000 0.500 0.827
0.500 0.500 0.662
0.000 0.000 0.000
0.000 0.000 0.339
0.000 0.000 0.661

=====

[8]
Dy2YIn2 | the Alexandria database | PBE | relaxed; space-group type = P2_1/m (11); V = 139 Å³/f.u.; E above lowest polymorph = 0 meV per atom; ΔE_f = -37.86 kJ/mol of atoms; E = -4.62 eV/atom
1.0
3.716 0.000 -0.498
0.000 5.335 0.000
-0.017 0.000 14.003
Dy In Y
4 4 2
direct
0.237 0.750 0.474
0.952 0.250 0.904
0.763 0.250 0.526
0.048 0.750 0.096
0.357 0.250 0.713
0.550 0.250 0.100
0.450 0.750 0.900
0.643 0.750 0.287
0.148 0.250 0.297
0.852 0.750 0.703

=====

- Among the records above, which one has the lowest E?
  DyY9In2

=====

- Among the records above, which one has the highest V?
  Dy4Y9In11